Entry 1:
Below is crystalline BeVTcRh at its relaxed geometry, with properties calculated at the GGA-PBE level.

## Properties
**Magnetic moment**: 0.00 Bohr magnetons per cell
**Energy of formation**: -0.335 eV/atom
**Crystal system**: cubic

Cell lengths 5.862, 5.862, 5.862 Å; angles 90.00, 90.00, 90.00 degrees
Fractional positions:
Be1 0.000 0.000 0.000
Be2 0.000 0.500 0.500
Be3 0.500 0.000 0.500
Be4 0.500 0.500 0.000
V1 0.000 0.000 0.500
V2 0.000 0.500 0.000
V3 0.500 0.000 0.000
V4 0.500 0.500 0.500
Tc1 0.250 0.250 0.250
Tc2 0.250 0.750 0.750
Tc3 0.750 0.250 0.750
Tc4 0.750 0.750 0.250
Rh1 0.250 0.250 0.750
Rh2 0.250 0.750 0.250
Rh3 0.750 0.250 0.250
Rh4 0.750 0.750 0.750

=====

Entry 2:
Below is crystalline BeTcRhW at its relaxed geometry, with properties calculated at the GGA-PBE level.

## Properties
**Magnetic moment**: 0.00 Bohr magnetons per cell
**Energy of formation**: -0.167 eV/atom
**Crystal system**: cubic

Cell lengths 6.024, 6.024, 6.024 Å; angles 90.00, 90.00, 90.00 degrees
Fractional positions:
Be1 0.000 0.000 0.000
Be2 0.000 0.500 0.500
Be3 0.500 0.000 0.500
Be4 0.500 0.500 0.000
Tc1 0.250 0.250 0.250
Tc2 0.250 0.750 0.750
Tc3 0.750 0.250 0.750
Tc4 0.750 0.750 0.250
Rh1 0.250 0.250 0.750
Rh2 0.250 0.750 0.250
Rh3 0.750 0.250 0.250
Rh4 0.750 0.750 0.750
W1 0.000 0.000 0.500
W2 0.000 0.500 0.000
W3 0.500 0.000 0.000
W4 0.500 0.500 0.500

=====

- Number 1 is which compound?
  BeVTcRh

=====

- Among the records above, which one has the lowest energy of formation?
  BeVTcRh